TiBe2Rh: optimized geometry, GGA-PBE.

Calculated values
Crystal system: tetragonal
Volume, A^3/atom: 13.28
ΔH_f (0 K), meV/atom: 86
Magnetization, μB per cell: 0.000

abc: 3.530 3.530 17.052
angles: 90.00 90.00 90.00
Space group I-42d (No. 122)
Unique sites:
1 Ti 0.000 0.000 0.000 (multiplicity 4)
2 Be 0.211 0.250 0.625 (multiplicity 8)
3 Rh 0.000 0.000 0.500 (multiplicity 4)